A:
The following is a GGA-PBE calculation of a relaxed MgTeBr2 crystal, from Alexandria via LeMat-Bulk.

Cell: 5.2672 5.2672 9.7411 Å, 90.00 90.00 137.39°
Atoms (fractional coordinates):
Br1 0.0000 0.0000 0.9432
Br2 0.5000 0.5000 0.3295
Mg1 0.0000 0.0000 0.5013
Te1 0.5000 0.5000 0.7260

Calculated volume (Å³/atom): 45.737

---

B:
The following is a GGA-PBE calculation of a relaxed MgTeBr2 crystal, from Alexandria via LeMat-Bulk.

Cell: 7.6588 7.6588 7.6588 Å, 154.42 128.85 58.04°
Atoms (fractional coordinates):
Br1 0.8911 0.8911 0.0000
Br2 0.6089 0.6089 0.0000
Mg1 0.7500 0.2500 0.5000
Te1 0.2500 0.7500 0.5000

Calculated volume (Å³/atom): 37.534

---

Most stable pick: B. Distance to second place: 19.0 kJ/mol of atoms.

---

A:
The following is a GGA-PBE calculation of a relaxed MgTeBr2 crystal, from Alexandria via LeMat-Bulk.

Cell: 8.0406 8.0406 6.7250 Å, 55.30 55.30 24.42°
Atoms (fractional coordinates):
Br1 0.0216 0.0216 0.8715
Br2 0.8458 0.8458 0.6592
Mg1 0.4642 0.4642 0.6674
Te1 0.1684 0.1684 0.3019

Calculated volume (Å³/atom): 36.529

---

B:
The following is a GGA-PBE calculation of a relaxed MgTeBr2 crystal, from Alexandria via LeMat-Bulk.

Cell: 4.2769 4.2801 6.6677 Å, 90.00 90.00 90.00°
Atoms (fractional coordinates):
Br1 0.0000 0.0000 0.0666
Br2 0.5000 0.5000 0.2935
Mg1 0.0000 0.0000 0.4556
Te1 0.5000 0.5000 0.6844

Calculated volume (Å³/atom): 30.514

---

Most stable pick: A. Distance to second place: 31.3 kJ/mol of atoms.